(1)
VASP calculation (GGA-PBE) on a geometry-optimized Tb6PmErTm2 structure.

The space group is C2/c (No. 15) and the conventional cell measures 9.100, 14.984 and 9.486 Å, with angles of 90.00, 96.73 and 90.00 degrees. Symmetry generates all atoms from Tb at (0.062, 0.183, 0.444), Tb at (0.099, 0.391, 0.618), Tb at (0.211, 0.226, 0.817), Pm at (0.000, 0.027, 0.750), Er at (0.000, 0.410, 0.250) and Tm at (0.247, 0.448, 0.953).

The crystal system is monoclinic. The uncorrected energy is -4.48 eV/atom. The value obtained for the formation energy is 1.2 eV/f.u.

(2)
VASP calculation (GGA-PBE) on a geometry-optimized Tb6Pm2ErTm3 structure.

The space group is C2/m (No. 12) and the conventional cell measures 6.154, 10.651 and 11.768 Å, with angles of 90.00, 99.99 and 90.00 degrees. Symmetry generates all atoms from Tb at (0.247, 0.000, 0.246), Tb at (0.249, 0.334, 0.247), Pm at (0.000, 0.333, 0.500), Er at (0.000, 0.000, 0.500), Tm at (0.000, 0.166, 0.000) and Tm at (0.000, 0.500, 0.000).

The crystal system is monoclinic. The uncorrected energy is -4.59 eV/atom. The value obtained for the formation energy is 0.2 eV/f.u.

(3)
VASP calculation (GGA-PBE) on a geometry-optimized Tb2Pm3Er6Tm structure.

The space group is C2/m (No. 12) and the conventional cell measures 6.154, 10.652 and 11.720 Å, with angles of 90.00, 100.04 and 90.00 degrees. Symmetry generates all atoms from Tb at (0.000, 0.167, 0.000), Pm at (0.000, 0.000, 0.500), Pm at (0.000, 0.333, 0.500), Er at (0.249, 0.000, 0.247), Er at (0.249, 0.334, 0.247) and Tm at (0.000, 0.500, 0.000).

The crystal system is monoclinic. The uncorrected energy is -4.59 eV/atom. The value obtained for the formation energy is 0.2 eV/f.u.

(4)
VASP calculation (GGA-PBE) on a geometry-optimized Tb3PmEr6Tm2 structure.

The space group is C2/m (No. 12) and the conventional cell measures 6.111, 10.574 and 11.686 Å, with angles of 90.00, 100.00 and 90.00 degrees. Symmetry generates all atoms from Tb at (0.000, 0.000, 0.000), Tb at (0.000, 0.333, 0.000), Pm at (0.000, 0.500, 0.500), Er at (0.249, 0.167, 0.250), Er at (0.250, 0.000, 0.750) and Tm at (0.000, 0.167, 0.500).

The crystal system is monoclinic. The uncorrected energy is -4.56 eV/atom. The value obtained for the formation energy is 0.2 eV/f.u.

(5)
VASP calculation (GGA-PBE) on a geometry-optimized TbPm6ErTm2 structure.

The space group is C2/c (No. 15) and the conventional cell measures 9.217, 15.194 and 9.567 Å, with angles of 90.00, 97.12 and 90.00 degrees. Symmetry generates all atoms from Tb at (0.000, 0.028, 0.250), Pm at (0.061, 0.178, 0.946), Pm at (0.098, 0.391, 0.118), Pm at (0.214, 0.224, 0.314), Er at (0.000, 0.411, 0.750) and Tm at (0.249, 0.451, 0.453).

The crystal system is monoclinic. The uncorrected energy is -4.55 eV/atom. The value obtained for the formation energy is 1.2 eV/f.u.

(6)
VASP calculation (GGA-PBE) on a geometry-optimized TbPm2Er6Tm3 structure.

The space group is C2/m (No. 12) and the conventional cell measures 6.119, 10.585 and 11.682 Å, with angles of 90.00, 100.03 and 90.00 degrees. Symmetry generates all atoms from Tb at (0.000, 0.000, 0.000), Pm at (0.000, 0.333, 0.000), Er at (0.247, 0.000, 0.746), Er at (0.248, 0.334, 0.746), Tm at (0.000, 0.167, 0.500) and Tm at (0.000, 0.500, 0.500).

The crystal system is monoclinic. The uncorrected energy is -4.55 eV/atom. The value obtained for the formation energy is 0.3 eV/f.u.